An optimized crystal structure of Al2GaRh. Source: Alexandria, functional GGA-PBE.

a b c (Å): 3.305 3.305 5.438
angles (deg): 90.00 90.00 90.00
Space group P4/mmm (No. 123)
One atom of each set of equivalent atoms:
Al 0.000 0.000 0.243 [2 per cell]
Ga 0.500 0.500 0.500 [1 per cell]
Rh 0.500 0.500 0.000 [1 per cell]

## Properties
**Energy of formation from the pure elements**: -486 meV per atom

***

An optimized crystal structure of Al2GaRh. Source: Alexandria, functional GGA-PBE.

a b c (Å): 3.0061 3.0061 24.3829
angles (deg): 90.00 90.00 120.00
Space group R3m (No. 160, hexagonal axes)
One atom of each set of equivalent atoms:
Al 0.0000 0.0000 0.0000 [3 per cell]
Al 0.0000 0.0000 0.1815 [3 per cell]
Ga 0.0000 0.0000 0.7571 [3 per cell]
Rh 0.0000 0.0000 0.5910 [3 per cell]

## Properties
**Energy of formation from the pure elements**: -369 meV per atom